No. 1
First-principles (PBE) data for crystalline LiSc2Fe at its relaxed geometry, as listed in Alexandria via LeMat-Bulk.

Energy of formation ... 0.32 eV/atom
Raw total energy ... -21.8 eV per cell

Unit cell a=4.633 b=4.633 c=4.633 alpha=60.00 beta=60.00 gamma=60.00
Positions (direct):
Li  0.000  0.000  0.000
Sc  0.250  0.250  0.250
Sc  0.500  0.500  0.500
Fe  0.750  0.750  0.750

No. 2
First-principles (PBE) data for crystalline LiPuUS4 at its relaxed geometry, as listed in Alexandria via LeMat-Bulk.

Raw total energy ... -108.6 eV per cell
Raw formation energy ... -1.468 eV per atom

Unit cell a=7.977 b=7.977 c=7.977 alpha=120.21 beta=119.97 gamma=89.84
Positions (direct):
Li  0.369  0.119  0.250
Li  0.631  0.881  0.750
Pu  0.000  0.500  0.500
Pu  0.500  0.500  0.000
U  0.000  0.000  0.500
U  0.000  0.500  0.000
S  0.227  0.746  0.481
S  0.235  0.254  0.981
S  0.237  0.248  0.511
S  0.237  0.725  0.989
S  0.763  0.275  0.011
S  0.763  0.752  0.489
S  0.765  0.746  0.019
S  0.773  0.254  0.519

No. 3
First-principles (PBE) data for crystalline K2Li2NpS4 at its relaxed geometry, as listed in Alexandria via LeMat-Bulk.

Raw total energy ... -47.6 eV per cell
Raw formation energy ... -1.343 eV per atom

Unit cell a=7.657 b=7.657 c=7.486 alpha=109.46 beta=109.46 gamma=30.91
Positions (direct):
K  0.138  0.138  0.062
K  0.862  0.862  0.938
Li  0.318  0.318  0.511
Li  0.682  0.682  0.489
Np  0.000  0.000  0.500
S  0.194  0.194  0.668
S  0.483  0.483  0.727
S  0.517  0.517  0.273
S  0.806  0.806  0.332

No. 4
First-principles (PBE) data for crystalline Pm2Pr5Sm2 at its relaxed geometry, as listed in Alexandria via LeMat-Bulk.

Energy of formation ... 0.09 eV/atom
Raw total energy ... -42.0 eV per cell
Excess energy over the best structure of this formula in the dataset ... 0.000 eV/atom

Unit cell a=8.924 b=8.924 c=6.415 alpha=102.99 beta=102.99 gamma=39.68
Positions (direct):
Pm  0.057  0.057  0.257
Pm  0.943  0.943  0.743
Pr  0.155  0.155  0.801
Pr  0.381  0.381  0.924
Pr  0.500  0.500  0.500
Pr  0.619  0.619  0.076
Pr  0.845  0.845  0.199
Sm  0.269  0.269  0.363
Sm  0.731  0.731  0.637